1.
Material: Gd2Dy5Y
Method: DFT, GGA-PBE
State: optimized geometry

extended XYZ file:
```
8
Lattice="-2.589 -0.939 -4.936 -6.046 -1.887 3.531 -4.958 5.030 1.644" Properties=species:S:1:pos:R:3 pbc="T T T"
Dy -7.980 -0.369 1.020
Dy -10.472 2.152 1.848
Dy -4.315 3.046 1.684
Dy -4.862 -0.424 2.631
Dy -7.435 3.095 0.076
Gd -7.335 2.095 3.449
Gd -4.967 0.580 -0.741
Y -1.828 0.522 0.859
```

Formation energy ... 0.0097 eV per atom
SG ... No. 38

2.
Material: GdDyZn4
Method: DFT, GGA-PBE
State: optimized geometry

extended XYZ file:
```
6
Lattice="-2.239 3.557 3.778 2.239 -3.557 3.778 2.239 3.557 -3.778" Properties=species:S:1:pos:R:3 pbc="T T T"
Zn 0.000 5.021 1.251
Zn 2.239 2.091 2.523
Zn 0.000 2.092 1.251
Zn 2.239 -2.091 2.523
Dy 0.000 0.000 3.554
Gd 2.239 0.000 0.232
```

Formation energy ... -0.3908 eV per atom
SG ... No. 44